No. 1
First-principles (PBE-GGA) data for a relaxed structure of NaSnIrRh, as listed in Alexandria.

Cell: 4.5272 4.5272 4.5272 Å, 60.00 60.00 60.00°
With the nearest neighbours (Å) after each atom.
Fractional positions:
Na  0.7500  0.7500  0.7500  4 Ir 2.77, 4 Rh 2.77
Ir  0.5000  0.5000  0.5000  4 Na 2.77, 4 Sn 2.77
Rh  0.0000  0.0000  0.0000  4 Sn 2.77, 4 Na 2.77
Sn  0.2500  0.2500  0.2500  4 Rh 2.77, 4 Ir 2.77

Values from the calculation:
The calculation puts the formation energy at -19 kJ/mol of formula units. The calculation puts the density of states at the Fermi level at 0.45 states/eV per atom.

No. 2
First-principles (PBE-GGA) data for a relaxed structure of NaTcIrRh2, as listed in Alexandria.

Cell: 4.5752 4.8099 4.5752 Å, 90.00 90.00 90.00°
With the nearest neighbours (Å) after each atom.
Fractional positions:
Na  0.0000  0.5000  0.0000  2 Tc 2.40
Ir  0.5000  0.5000  0.5000  4 Na 3.24, 8 Rh 3.32
Rh  0.0000  0.0000  0.5000  2 Tc 2.29
Rh  0.5000  0.0000  0.0000  2 Tc 2.29
Tc  0.0000  0.0000  0.0000  4 Rh 2.29, 2 Na 2.40

Values from the calculation:
The calculation puts the formation energy at 849 kJ/mol of formula units. The calculation puts the density of states at the Fermi level at 1.63 states/eV per atom.

No. 3
First-principles (PBE-GGA) data for a relaxed structure of NaIr2Ru2, as listed in Alexandria.

Cell: 7.6829 7.6829 2.7187 Å, 90.00 90.00 90.00°
With the nearest neighbours (Å) after each atom.
Fractional positions:
Ru  0.1723  0.6723  0.5000  6 Ir 2.62-2.66, 2 Ru 2.72
Ru  0.6723  0.8277  0.5000  6 Ir 2.62-2.66, 2 Ru 2.72
Ru  0.8277  0.3277  0.5000  6 Ir 2.62-2.66, 2 Ru 2.72
Ru  0.3277  0.1723  0.5000  6 Ir 2.62-2.66, 2 Ru 2.72
Ir  0.3783  0.8783  0.0000  6 Ru 2.62-2.66, 3 Ir 2.64-2.72
Ir  0.8783  0.6217  0.0000  6 Ru 2.62-2.66, 3 Ir 2.64-2.72
Ir  0.6217  0.1217  0.0000  6 Ru 2.62-2.66, 3 Ir 2.64-2.72
Ir  0.1217  0.3783  0.0000  6 Ru 2.62-2.66, 3 Ir 2.64-2.72
Na  0.0000  0.0000  0.0000  2 Na 2.72
Na  0.5000  0.5000  0.0000  2 Na 2.72

Values from the calculation:
The polymorph energy (0 for the lowest one) is 26 meV/atom. The calculation puts the formation energy at 111 kJ/mol of formula units. The calculation puts the density of states at the Fermi level at 1.22 states/eV per atom.

No. 4
First-principles (PBE-GGA) data for a relaxed structure of Na2IrRu, as listed in Alexandria.

Cell: 8.1075 8.1075 6.2277 Å, 49.39 49.39 90.00°
With the nearest neighbours (Å) after each atom.
Fractional positions:
Ru  0.5000  0.5000  0.0000  2 Ir 2.43
Ru  0.2500  0.7500  0.5000  2 Ir 2.43
Ir  0.0000  0.0000  0.0000  2 Ru 2.43
Ir  0.7500  0.2500  0.5000  2 Ru 2.43
Na  0.6343  0.1250  0.2500  2 Na 2.44
Na  0.1157  0.6250  0.2500  2 Na 2.44
Na  0.3750  0.3657  0.7500  2 Na 2.44
Na  0.8750  0.8843  0.7500  2 Na 2.44

Values from the calculation:
The polymorph energy (0 for the lowest one) is 0 meV/atom. The calculation puts the formation energy at 426 kJ/mol of formula units. The calculation puts the density of states at the Fermi level at 1.19 states/eV per atom.

No. 5
First-principles (PBE-GGA) data for a relaxed structure of NaIr2Ru2, as listed in Alexandria.

Cell: 4.0264 4.0264 6.1652 Å, 70.94 70.94 90.00°
With the nearest neighbours (Å) after each atom.
Fractional positions:
Ru  0.7500  0.2500  0.5000  4 Ir 2.54, 4 Ru 2.85
Ru  0.2500  0.7500  0.5000  4 Ir 2.54, 4 Ru 2.85
Ir  0.3923  0.3923  0.2153  1 Ir 2.35, 4 Ru 2.54
Ir  0.6077  0.6077  0.7847  1 Ir 2.35, 4 Ru 2.54
Na  0.0000  0.0000  0.0000  8 Ir 3.08, 8 Ru 3.40

Values from the calculation:
The polymorph energy (0 for the lowest one) is 251 meV/atom. The calculation puts the formation energy at 220 kJ/mol of formula units. The calculation puts the density of states at the Fermi level at 1.06 states/eV per atom.

No. 6
First-principles (PBE-GGA) data for a relaxed structure of NaIr2Ru2, as listed in Alexandria.

Cell: 7.6747 7.6747 2.7159 Å, 90.00 90.00 90.00°
With the nearest neighbours (Å) after each atom.
Fractional positions:
Ru  0.3799  0.8799  0.0000  3 Ru 2.61-2.72, 6 Ir 2.62-2.66
Ru  0.8799  0.6201  0.0000  3 Ru 2.61-2.72, 6 Ir 2.62-2.66
Ru  0.6201  0.1201  0.0000  3 Ru 2.61-2.72, 6 Ir 2.62-2.66
Ru  0.1201  0.3799  0.0000  3 Ru 2.61-2.72, 6 Ir 2.62-2.66
Ir  0.1733  0.6733  0.5000  6 Ru 2.62-2.66, 2 Ir 2.72
Ir  0.6733  0.8267  0.5000  6 Ru 2.62-2.66, 2 Ir 2.72
Ir  0.8267  0.3267  0.5000  6 Ru 2.62-2.66, 2 Ir 2.72
Ir  0.3267  0.1733  0.5000  6 Ru 2.62-2.66, 2 Ir 2.72
Na  0.0000  0.0000  0.0000  2 Na 2.72
Na  0.5000  0.5000  0.0000  2 Na 2.72

Values from the calculation:
The polymorph energy (0 for the lowest one) is 0 meV/atom. The calculation puts the formation energy at 98 kJ/mol of formula units. The calculation puts the density of states at the Fermi level at 1.26 states/eV per atom.